{"formula": "NaNpIn2Br6", "functional": "PBE", "state": "optimized geometry", "e_tot_ev_per_atom": -4.081, "formation_energy_uncorrected_kj_per_mol_atoms": -106.5, "total_magnetization_mub_per_fu": 4.0, "lattice": [[3.989, 2.303, 6.772], [-3.989, 2.303, 6.772], [0.000, -4.606, 6.772]], "species": ["Na", "Np", "In", "In", "Br", "Br", "Br", "Br", "Br", "Br"], "fractional_positions": [[0.000, 0.000, 0.000], [0.505, 0.505, 0.505], [0.209, 0.209, 0.209], [0.712, 0.712, 0.712], [0.171, 0.764, 0.351], [0.288, 0.648, 0.849], [0.351, 0.171, 0.764], [0.648, 0.849, 0.288], [0.764, 0.351, 0.171], [0.849, 0.288, 0.648]]}